1.
First-principles (PBE) data for a geometry-optimized YCr2SCl structure, as listed in the Alexandria database.

Cell lengths 5.9443, 5.9443, 4.9597 Å; angles 90.00, 90.00, 90.00 degrees
Element x y z (fractional)
Y (0.0000, 0.0000, 0.0000)
Cr (0.0000, 0.5000, 0.0000)
Cr (0.5000, 0.0000, 0.0000)
S (0.0000, 0.0000, 0.5000)
Cl (0.5000, 0.5000, 0.5000)

Summary:
Its density of states at the Fermi level is 1.19 states/eV per cell. The calculation puts the total energy at -5.5237 eV/atom. For the raw formation energy, the calculation gives 813.3 meV/atom. The calculation puts the volume at 35.1 Å³/atom.



2.
First-principles (PBE) data for a geometry-optimized ZnCrS2Cl structure, as listed in the Alexandria database.

Cell lengths 4.5986, 4.5986, 4.7467 Å; angles 90.00, 90.00, 90.00 degrees
Element x y z (fractional)
Zn (0.0000, 0.0000, 0.0000)
Cr (0.5000, 0.5000, 0.5000)
S (0.0000, 0.5000, 0.5000)
S (0.5000, 0.0000, 0.5000)
Cl (0.5000, 0.5000, 0.0000)

Summary:
Its density of states at the Fermi level is 4.33 states/eV per cell. The calculation puts the total energy at -4.2422 eV/atom. The calculation puts the polymorph energy (0 for the lowest one) at 0.00 eV per formula unit. For the raw formation energy, the calculation gives -42.4 meV/atom. The calculation puts the volume at 20.1 Å³/atom.



3.
First-principles (PBE) data for a geometry-optimized ZrCrSCl2 structure, as listed in the Alexandria database.

Cell lengths 4.6533, 4.6533, 4.9198 Å; angles 90.00, 90.00, 90.00 degrees
Element x y z (fractional)
Zr (0.0000, 0.0000, 0.0000)
Cr (0.5000, 0.5000, 0.5000)
S (0.5000, 0.5000, 0.0000)
Cl (0.0000, 0.5000, 0.5000)
Cl (0.5000, 0.0000, 0.5000)

Summary:
Its density of states at the Fermi level is 5.01 states/eV per cell. The calculation puts the total energy at -5.4324 eV/atom. The calculation puts the polymorph energy (0 for the lowest one) at 1.60 eV per formula unit. For the raw formation energy, the calculation gives -233.9 meV/atom. The calculation puts the volume at 21.3 Å³/atom.



4.
First-principles (PBE) data for a geometry-optimized ZrCrSCl2 structure, as listed in the Alexandria database.

Cell lengths 5.0361, 5.0361, 5.0019 Å; angles 90.00, 90.00, 90.00 degrees
Element x y z (fractional)
Zr (0.0000, 0.0000, 0.0000)
Cr (0.5000, 0.5000, 0.5000)
S (0.0000, 0.0000, 0.5000)
Cl (0.0000, 0.5000, 0.0000)
Cl (0.5000, 0.0000, 0.0000)

Summary:
Its density of states at the Fermi level is 2.15 states/eV per cell. The calculation puts the total energy at -5.7532 eV/atom. The calculation puts the polymorph energy (0 for the lowest one) at 0.00 eV per formula unit. For the raw formation energy, the calculation gives -554.7 meV/atom. The calculation puts the volume at 25.4 Å³/atom.



5.
First-principles (PBE) data for a geometry-optimized CrSbCl structure, as listed in the Alexandria database.

Cell lengths 4.5473, 4.5473, 3.3145 Å; angles 90.00, 90.00, 120.00 degrees
Element x y z (fractional)
Cr (0.0000, 0.0000, 0.0000)
Sb (0.3333, 0.6667, 0.5000)
Cl (0.6667, 0.3333, 0.0000)

Summary:
Its density of states at the Fermi level is 2.27 states/eV per cell. The calculation puts the total energy at -5.0420 eV/atom. The calculation puts the polymorph energy (0 for the lowest one) at 0.91 eV per formula unit. For the raw formation energy, the calculation gives 155.5 meV/atom. The calculation puts the volume at 19.8 Å³/atom.



6.
First-principles (PBE) data for a geometry-optimized CrSbCl structure, as listed in the Alexandria database.

Cell lengths 4.5862, 4.5862, 4.5862 Å; angles 60.00, 60.00, 60.00 degrees
Element x y z (fractional)
Cr (0.0000, 0.0000, 0.0000)
Sb (0.2500, 0.2500, 0.2500)
Cl (0.7500, 0.7500, 0.7500)

Summary:
Its density of states at the Fermi level is 2.12 states/eV per cell. The calculation puts the total energy at -5.0061 eV/atom. The calculation puts the polymorph energy (0 for the lowest one) at 1.02 eV per formula unit. For the raw formation energy, the calculation gives 191.4 meV/atom. The calculation puts the volume at 22.7 Å³/atom.



7.
First-principles (PBE) data for a geometry-optimized CrSb4Cl structure, as listed in the Alexandria database.

Cell lengths 6.2632, 6.2632, 6.2632 Å; angles 60.00, 60.00, 60.00 degrees
Element x y z (fractional)
Cr (0.0000, 0.0000, 0.0000)
Sb (0.1495, 0.6168, 0.6168)
Sb (0.6168, 0.1495, 0.6168)
Sb (0.6168, 0.6168, 0.1495)
Sb (0.6168, 0.6168, 0.6168)
Cl (0.2500, 0.2500, 0.2500)

Summary:
Its density of states at the Fermi level is 1.82 states/eV per cell. The calculation puts the total energy at -4.2582 eV/atom. For the raw formation energy, the calculation gives 401.7 meV/atom. The calculation puts the volume at 29.0 Å³/atom.



8.
First-principles (PBE) data for a geometry-optimized CrSb3Cl structure, as listed in the Alexandria database.

Cell lengths 5.0097, 5.0097, 5.0097 Å; angles 90.00, 90.00, 90.00 degrees
Element x y z (fractional)
Cr (0.0000, 0.0000, 0.0000)
Sb (0.0000, 0.0000, 0.5000)
Sb (0.0000, 0.5000, 0.0000)
Sb (0.5000, 0.0000, 0.0000)
Cl (0.5000, 0.5000, 0.5000)

Summary:
Its density of states at the Fermi level is 5.80 states/eV per cell. The calculation puts the total energy at -4.6054 eV/atom. The calculation puts the polymorph energy (0 for the lowest one) at 0.00 eV per formula unit. For the raw formation energy, the calculation gives 162.0 meV/atom. The calculation puts the volume at 25.1 Å³/atom.



9.
First-principles (PBE) data for a geometry-optimized CrSb3Cl structure, as listed in the Alexandria database.

Cell lengths 5.2793, 5.2793, 5.2793 Å; angles 90.00, 90.00, 90.00 degrees
Element x y z (fractional)
Cr (0.0000, 0.0000, 0.0000)
Sb (0.0000, 0.5000, 0.5000)
Sb (0.5000, 0.0000, 0.5000)
Sb (0.5000, 0.5000, 0.0000)
Cl (0.5000, 0.5000, 0.5000)

Summary:
Its density of states at the Fermi level is 4.00 states/eV per cell. The calculation puts the total energy at -3.7609 eV/atom. The calculation puts the polymorph energy (0 for the lowest one) at 4.22 eV per formula unit. For the raw formation energy, the calculation gives 1006.5 meV/atom. The calculation puts the volume at 29.4 Å³/atom.



10.
First-principles (PBE) data for a geometry-optimized Cr3SbCl structure, as listed in the Alexandria database.

Cell lengths 4.2403, 4.2403, 4.2403 Å; angles 90.00, 90.00, 90.00 degrees
Element x y z (fractional)
Cr (0.0000, 0.0000, 0.5000)
Cr (0.0000, 0.5000, 0.0000)
Cr (0.5000, 0.0000, 0.0000)
Sb (0.5000, 0.5000, 0.5000)
Cl (0.0000, 0.0000, 0.0000)

Summary:
Its density of states at the Fermi level is 5.47 states/eV per cell. The calculation puts the total energy at -6.1813 eV/atom. The calculation puts the polymorph energy (0 for the lowest one) at 0.00 eV per formula unit. For the raw formation energy, the calculation gives 786.5 meV/atom. The calculation puts the volume at 15.2 Å³/atom.



11.
First-principles (PBE) data for a geometry-optimized CrSbCl structure, as listed in the Alexandria database.

Cell lengths 7.8322, 7.6649, 3.2280 Å; angles 80.90, 75.09, 24.01 degrees
Element x y z (fractional)
Cr (0.0000, 0.0000, 0.0000)
Sb (0.6376, 0.6376, 0.3624)
Cl (0.3983, 0.3983, 0.6017)

Summary:
Its density of states at the Fermi level is 2.30 states/eV per cell. The calculation puts the total energy at -5.3454 eV/atom. The calculation puts the polymorph energy (0 for the lowest one) at 0.00 eV per formula unit. For the raw formation energy, the calculation gives -148.0 meV/atom. The calculation puts the volume at 24.9 Å³/atom.



12.
First-principles (PBE) data for a geometry-optimized CrSbCl structure, as listed in the Alexandria database.

Cell lengths 4.7595, 4.7595, 4.7595 Å; angles 60.00, 60.00, 60.00 degrees
Element x y z (fractional)
Cr (0.0000, 0.0000, 0.0000)
Sb (0.5000, 0.5000, 0.5000)
Cl (0.7500, 0.7500, 0.7500)

Summary:
Its density of states at the Fermi level is 2.88 states/eV per cell. The calculation puts the total energy at -4.4211 eV/atom. The calculation puts the polymorph energy (0 for the lowest one) at 2.77 eV per formula unit. For the raw formation energy, the calculation gives 776.4 meV/atom. The calculation puts the volume at 25.4 Å³/atom.



13.
First-principles (PBE) data for a geometry-optimized CrSbCl structure, as listed in the Alexandria database.

Cell lengths 3.2293, 3.2293, 7.4662 Å; angles 90.00, 90.00, 120.00 degrees
Element x y z (fractional)
Cr (0.0000, 0.0000, 0.0000)
Sb (0.6667, 0.3333, 0.2680)
Cl (0.3333, 0.6667, 0.8156)

Summary:
Its density of states at the Fermi level is 0.56 states/eV per cell. The calculation puts the total energy at -5.2914 eV/atom. The calculation puts the polymorph energy (0 for the lowest one) at 0.16 eV per formula unit. For the raw formation energy, the calculation gives -93.9 meV/atom. The calculation puts the volume at 22.5 Å³/atom.



14.
First-principles (PBE) data for a geometry-optimized CrSbCl4 structure, as listed in the Alexandria database.

Cell lengths 5.8487, 5.8487, 5.8487 Å; angles 60.00, 60.00, 60.00 degrees
Element x y z (fractional)
Cr (0.0000, 0.0000, 0.0000)
Sb (0.7500, 0.7500, 0.7500)
Cl (0.3744, 0.3744, 0.3744)
Cl (0.3744, 0.3744, 0.8767)
Cl (0.3744, 0.8767, 0.3744)
Cl (0.8767, 0.3744, 0.3744)

Summary:
Its density of states at the Fermi level is 5.57 states/eV per cell. The calculation puts the total energy at -2.8515 eV/atom. For the raw formation energy, the calculation gives 670.5 meV/atom. The calculation puts the volume at 23.6 Å³/atom.



15.
First-principles (PBE) data for a geometry-optimized Cr3SbCl structure, as listed in the Alexandria database.

Cell lengths 5.2807, 5.2807, 5.2807 Å; angles 90.00, 90.00, 90.00 degrees
Element x y z (fractional)
Cr (0.0000, 0.0000, 0.5000)
Cr (0.0000, 0.5000, 0.0000)
Cr (0.5000, 0.0000, 0.0000)
Sb (0.0000, 0.0000, 0.0000)
Cl (0.5000, 0.5000, 0.5000)

Summary:
Its density of states at the Fermi level is 5.47 states/eV per cell. The calculation puts the total energy at -6.1082 eV/atom. The calculation puts the polymorph energy (0 for the lowest one) at 0.37 eV per formula unit. For the raw formation energy, the calculation gives 859.6 meV/atom. The calculation puts the volume at 29.5 Å³/atom.



16.
First-principles (PBE) data for a geometry-optimized CrSbCl structure, as listed in the Alexandria database.

Cell lengths 7.5276, 7.5276, 7.5276 Å; angles 155.51, 155.51, 34.91 degrees
Element x y z (fractional)
Cr (0.0000, 0.0000, 0.0000)
Sb (0.3653, 0.3653, 0.0000)
Cl (0.6019, 0.6019, 0.0000)

Summary:
Its density of states at the Fermi level is 1.09 states/eV per cell. The calculation puts the total energy at -5.3300 eV/atom. The calculation puts the polymorph energy (0 for the lowest one) at 0.05 eV per formula unit. For the raw formation energy, the calculation gives -132.6 meV/atom. The calculation puts the volume at 24.4 Å³/atom.



17.
First-principles (PBE) data for a geometry-optimized CrSb2TeCl structure, as listed in the Alexandria database.

Cell lengths 5.1882, 5.1882, 5.4000 Å; angles 90.00, 90.00, 90.00 degrees
Element x y z (fractional)
Cr (0.0000, 0.0000, 0.0000)
Sb (0.0000, 0.5000, 0.5000)
Sb (0.5000, 0.0000, 0.5000)
Te (0.5000, 0.5000, 0.0000)
Cl (0.5000, 0.5000, 0.5000)

Summary:
Its density of states at the Fermi level is 6.28 states/eV per cell. The calculation puts the total energy at -3.1339 eV/atom. The calculation puts the polymorph energy (0 for the lowest one) at 6.18 eV per formula unit. For the raw formation energy, the calculation gives 1437.4 meV/atom. The calculation puts the volume at 29.1 Å³/atom.



18.
First-principles (PBE) data for a geometry-optimized CrSb2TeCl structure, as listed in the Alexandria database.

Cell lengths 5.0807, 5.0807, 4.9938 Å; angles 90.00, 90.00, 90.00 degrees
Element x y z (fractional)
Cr (0.0000, 0.0000, 0.0000)
Sb (0.0000, 0.5000, 0.0000)
Sb (0.5000, 0.0000, 0.0000)
Te (0.0000, 0.0000, 0.5000)
Cl (0.5000, 0.5000, 0.5000)

Summary:
Its density of states at the Fermi level is 5.56 states/eV per cell. The calculation puts the total energy at -4.3689 eV/atom. The calculation puts the polymorph energy (0 for the lowest one) at 0.00 eV per formula unit. For the raw formation energy, the calculation gives 202.3 meV/atom. The calculation puts the volume at 25.8 Å³/atom.



19.
First-principles (PBE) data for a geometry-optimized CrSbTe2Cl structure, as listed in the Alexandria database.

Cell lengths 5.0533, 5.0533, 5.2060 Å; angles 90.00, 90.00, 90.00 degrees
Element x y z (fractional)
Cr (0.0000, 0.0000, 0.0000)
Sb (0.0000, 0.0000, 0.5000)
Te (0.0000, 0.5000, 0.0000)
Te (0.5000, 0.0000, 0.0000)
Cl (0.5000, 0.5000, 0.5000)

Summary:
Its density of states at the Fermi level is 5.51 states/eV per cell. The calculation puts the total energy at -4.1496 eV/atom. The calculation puts the polymorph energy (0 for the lowest one) at 0.00 eV per formula unit. For the raw formation energy, the calculation gives 225.5 meV/atom. The calculation puts the volume at 26.6 Å³/atom.



20.
First-principles (PBE) data for a geometry-optimized CrSbTe2Cl structure, as listed in the Alexandria database.

Cell lengths 5.4049, 5.4049, 5.0443 Å; angles 90.00, 90.00, 90.00 degrees
Element x y z (fractional)
Cr (0.0000, 0.0000, 0.0000)
Sb (0.5000, 0.5000, 0.0000)
Te (0.0000, 0.5000, 0.5000)
Te (0.5000, 0.0000, 0.5000)
Cl (0.5000, 0.5000, 0.5000)

Summary:
Its density of states at the Fermi level is 10.98 states/eV per cell. The calculation puts the total energy at -2.8712 eV/atom. The calculation puts the polymorph energy (0 for the lowest one) at 6.39 eV per formula unit. For the raw formation energy, the calculation gives 1503.9 meV/atom. The calculation puts the volume at 29.5 Å³/atom.